[1]
Cu2SiNi at its PBEsol-relaxed geometry, computed with SCAN.

Output
formation energy from raw total energies: -4.9 kJ per mole of atoms

Unit cell a=2.612 b=3.595 c=4.816 alpha=90.00 beta=90.00 gamma=90.00
Sites, in units of the cell vectors:
Cu1 0.000 0.000 0.248
Cu2 0.000 0.000 0.752
Si1 0.500 0.500 0.500
Ni1 0.500 0.500 0.000



[2]
LiPdCl2 at its PBEsol-relaxed geometry, computed with SCAN.

Output
formation energy from raw total energies: -67.3 kJ per mole of atoms
energy above the most stable polymorph in this dataset: 0.026 eV/atom

Unit cell a=4.537 b=4.537 c=4.537 alpha=60.00 beta=60.00 gamma=60.00
Sites, in units of the cell vectors:
Li1 0.000 0.000 0.000
Pd1 0.500 0.500 0.500
Cl1 0.250 0.250 0.250
Cl2 0.750 0.750 0.750



[3]
FeSbTe2 at its PBEsol-relaxed geometry, computed with SCAN.

Output
formation energy from raw total energies: 48.1 kJ per mole of atoms

Unit cell a=5.132 b=5.132 c=3.517 alpha=90.00 beta=90.00 gamma=90.00
Sites, in units of the cell vectors:
Fe1 0.000 0.000 0.000
Sb1 0.500 0.500 0.000
Te1 0.000 0.500 0.500
Te2 0.500 0.000 0.500



[4]
YTeRu2 at its PBEsol-relaxed geometry, computed with SCAN.

Output
formation energy from raw total energies: -15.2 kJ per mole of atoms

Unit cell a=5.333 b=5.333 c=5.333 alpha=136.73 beta=136.73 gamma=62.86
Sites, in units of the cell vectors:
Y1 0.000 0.000 0.000
Te1 0.250 0.750 0.500
Ru1 0.500 0.500 0.000
Ru2 0.750 0.250 0.500



[5]
KCdAs2 at its PBEsol-relaxed geometry, computed with SCAN.

Output
calculated formation energy: -3 meV/atom

Unit cell a=3.197 b=3.197 c=8.948 alpha=90.00 beta=90.00 gamma=96.78
Sites, in units of the cell vectors:
K1 0.000 0.000 0.000
Cd1 0.000 0.000 0.500
As1 0.500 0.500 0.283
As2 0.500 0.500 0.717



[6]
Tm3In at its PBEsol-relaxed geometry, computed with SCAN.

Output
calculated formation energy: -362 meV/atom

Unit cell a=4.690 b=4.690 c=4.690 alpha=90.00 beta=90.00 gamma=90.00
Sites, in units of the cell vectors:
Tm1 0.000 0.000 0.500
Tm2 0.000 0.500 0.000
Tm3 0.500 0.000 0.000
In1 0.500 0.500 0.500



Total DFT energy (no corrections) for every record listed, in sequence, given in eV/atom: -14.20, -13.48, -31.97, -33.84, -19.78, -47.58.
Total moment for every record listed, in sequence, given in μB/cell: 0.00, 1.00, 3.06, 0.00, 0.00, 0.54.